Ca2UGe3Pt4: optimized geometry, PBE.

abc: 4.3158 4.3158 11.1515
angles: 90.00 90.00 90.00
Fractional positions:
Ca  0.5000  0.0000  0.2255
Ca  0.0000  0.5000  0.7745
U  0.5000  0.5000  0.5000
Ge  0.0000  0.0000  0.5000
Ge  0.5000  0.0000  0.8788
Ge  0.0000  0.5000  0.1212
Pt  0.5000  0.5000  0.0000
Pt  0.0000  0.0000  0.0000
Pt  0.5000  0.0000  0.6587
Pt  0.0000  0.5000  0.3413

Results
DOS(E_F) = 1.1825 states/eV per atom
energy relative to the elements = -0.716 eV per atom
VASP energy = -6.05 eV/atom
calculated density = 10.52 g/cm3
symmetry = P-4m2, No. 115